Material: Li4CrFe3O8
Method: DFT, PBE+U
State: relaxed

Calculated values
E above lowest polymorph	257	meV/atom

Cell: 5.031 5.081 5.804 Å, 106.59 90.01 99.47°
Site moments in Bohr magnetons follow the coordinates.
Positions (direct):
O 0.369 0.220 0.055  -0.06
O 0.868 0.223 0.810  -0.05
O 0.631 0.780 0.945  -0.06
O 0.131 0.776 0.698  -0.05
O 0.624 0.776 0.444  -0.05
O 0.132 0.777 0.190  -0.05
O 0.869 0.224 0.302  -0.05
O 0.376 0.224 0.556  -0.05
Li 0.745 0.499 0.626  0.00
Li 0.249 0.504 0.877  0.00
Li 0.255 0.501 0.374  0.00
Li 0.751 0.496 0.123  0.00
Fe 0.500 0.000 0.751  1.14
Fe 0.000 0.000 0.000  1.18
Fe 0.500 0.000 0.249  1.14
Cr 0.000 0.000 0.500  2.96